A geometry-optimized KNb2AuN structure. Source: the Alexandria database, functional PBE. Values from VASP.

Summary:
SG = P4/mmm
mass density = 4.41 Mg/m³
excess energy over the best structure of this formula in the dataset = 8.70 eV per formula unit

Cell and atoms, written as Quantum ESPRESSO input:
```
&SYSTEM
  ibrav = 0, nat = 5, ntyp = 4
/
ATOMIC_SPECIES
Nb 92.91 Nb.upf
Au 196.97 Au.upf
K 39.10 K.upf
N 14.01 N.upf
ATOMIC_POSITIONS angstrom
Nb -0.9462 -0.0994 2.3597
Nb -0.6200 2.4633 -0.1449
Au 0.0000 0.0000 0.0000
K -2.8386 -0.7833 -1.1712
N -4.4047 1.5807 1.0436
CELL_PARAMETERS angstrom
-1.2399 4.9266 -0.2897
-5.6771 -1.5665 -2.3424
-1.8923 -0.1987 4.7193
```

A geometry-optimized HoEr2SnN4 structure. Source: the Alexandria database, functional PBE. Values from VASP.

Summary:
SG = P2/m
mass density = 9.73 Mg/m³
DFT total energy = -60.0 eV/cell

Cell and atoms, written as Quantum ESPRESSO input:
```
&SYSTEM
  ibrav = 0, nat = 8, ntyp = 4
/
ATOMIC_SPECIES
Ho 164.93 Ho.upf
Er 167.26 Er.upf
Sn 118.71 Sn.upf
N 14.01 N.upf
ATOMIC_POSITIONS angstrom
Ho -2.0733 -1.3805 2.3692
Er -2.7079 1.5135 -1.4911
Er -2.0755 2.0220 1.8494
Sn 0.0000 0.0000 0.0000
N -2.4254 0.1033 0.4646
N -4.4312 2.0517 2.2629
N -2.3825 3.4367 -0.0469
N -1.7684 0.6072 3.7456
CELL_PARAMETERS angstrom
-2.7057 -1.8890 -0.9713
-1.4408 -0.8720 5.7097
-2.7101 4.9159 -2.0109
```

A geometry-optimized SrScZn17 structure. Source: the Alexandria database, functional PBE. Values from VASP.

Summary:
E_form = -161 meV/atom
SG = R3m
mass density = 6.65 Mg/m³

Cell and atoms, written as Quantum ESPRESSO input:
```
&SYSTEM
  ibrav = 0, nat = 19, ntyp = 3
/
ATOMIC_SPECIES
Sr 87.62 Sr.upf
Sc 44.96 Sc.upf
Zn 65.41 Zn.upf
ATOMIC_POSITIONS angstrom
Sr 4.9845 4.4865 5.6072
Sc 2.4999 2.2501 2.8122
Zn 2.0118 0.0437 5.0208
Zn 4.9564 1.9961 0.8409
Zn 0.5416 4.7197 2.5862
Zn 2.5049 4.7197 0.8409
Zn 0.2544 1.9961 5.0208
Zn 4.7505 0.0437 2.5862
Zn 2.9833 5.7284 3.3560
Zn 2.6287 2.3661 6.3615
Zn 6.0097 2.3661 3.3560
Zn 4.4827 1.1724 5.0426
Zn 4.8162 4.3350 2.2156
Zn 1.6360 4.3350 5.0426
Zn 7.1293 3.4277 8.0199
Zn 7.4776 6.7305 5.0675
Zn 4.1565 6.7305 8.0199
Zn 6.8107 6.1302 7.6615
Zn 0.7977 0.7180 0.8973
CELL_PARAMETERS angstrom
6.7717 0.0177 0.8187
0.7278 6.7325 0.8187
0.0197 0.0177 6.8210
```

A geometry-optimized CePrSeS structure. Source: the Alexandria database, functional PBE. Values from VASP.

Summary:
SG = R3m
mass density = 6.43 Mg/m³
DFT total energy = -26.1 eV/cell

Cell and atoms, written as Quantum ESPRESSO input:
```
&SYSTEM
  ibrav = 0, nat = 4, ntyp = 4
/
ATOMIC_SPECIES
Ce 140.12 Ce.upf
Pr 140.91 Pr.upf
Se 78.96 Se.upf
S 32.06 S.upf
ATOMIC_POSITIONS angstrom
Ce 4.1375 2.3888 3.2996
Pr 6.2063 3.5832 0.1209
Se 6.2063 3.5832 5.0879
S 2.0688 1.1944 1.7429
CELL_PARAMETERS angstrom
4.1375 0.0000 0.0000
2.0688 3.5832 0.0000
2.0688 1.1944 6.8341
```

A geometry-optimized LaCd5Hg3 structure. Source: the Alexandria database, functional PBE. Values from VASP.

Summary:
E_form = -126 meV/atom
SG = Cmcm
mass density = 9.58 Mg/m³

Cell and atoms, written as Quantum ESPRESSO input:
```
&SYSTEM
  ibrav = 0, nat = 18, ntyp = 3
/
ATOMIC_SPECIES
La 138.91 La.upf
Cd 112.41 Cd.upf
Hg 200.59 Hg.upf
ATOMIC_POSITIONS angstrom
La -4.4695 -1.4969 12.9307
La -0.8850 -0.6203 4.5729
Cd -2.8810 -2.6958 7.9503
Cd -4.3781 2.5127 14.8315
Cd -2.6625 2.7038 7.3785
Cd 0.0000 0.0000 0.0000
Cd 0.6188 -5.6238 5.2575
Cd -5.9733 3.5066 12.2461
Cd -5.0079 2.5262 9.5707
Cd -0.9764 -4.6299 2.6722
Cd -2.4735 0.5786 9.5534
Cd -0.3466 -4.6434 7.9329
Hg -3.7525 -0.0912 15.8459
Hg -1.9193 -3.7043 5.3298
Hg -1.9425 -1.9294 10.8295
Hg -3.4120 -0.1878 6.6741
Hg -3.4352 1.5871 12.1738
Hg -1.6019 -2.0260 1.6578
CELL_PARAMETERS angstrom
-3.2213 -1.0734 -0.7690
3.1917 -6.4513 3.5157
-5.3249 5.4075 14.7570
```

A geometry-optimized TbHf2PaN4 structure. Source: the Alexandria database, functional PBE. Values from VASP.

Summary:
SG = P2/m
mass density = 12.61 Mg/m³
DFT total energy = -81.1 eV/cell

Cell and atoms, written as Quantum ESPRESSO input:
```
&SYSTEM
  ibrav = 0, nat = 8, ntyp = 4
/
ATOMIC_SPECIES
Tb 158.93 Tb.upf
Hf 178.49 Hf.upf
Pa 231.04 Pa.upf
N 14.01 N.upf
ATOMIC_POSITIONS angstrom
Tb 1.6554 2.9284 -0.0785
Hf 0.0000 2.0203 5.4002
Hf 1.6554 1.0101 2.7001
Pa 0.0000 3.9385 2.6217
N 0.0001 6.0252 3.8524
N 3.3108 1.8519 1.3908
N 1.6554 5.0357 1.1949
N 1.6554 2.8413 4.0484
CELL_PARAMETERS angstrom
3.3108 0.0000 0.0000
0.0000 5.8568 -0.1570
0.0000 2.0203 5.4002
```

A geometry-optimized SrBeCl structure. Source: the Alexandria database, functional PBE. Values from VASP.

Summary:
SG = F-43m
mass density = 2.57 Mg/m³
excess energy over the best structure of this formula in the dataset = 0.53 eV per formula unit

Cell and atoms, written as Quantum ESPRESSO input:
```
&SYSTEM
  ibrav = 0, nat = 3, ntyp = 3
/
ATOMIC_SPECIES
Sr 87.62 Sr.upf
Be 9.01 Be.upf
Cl 35.45 Cl.upf
ATOMIC_POSITIONS angstrom
Sr 0.0000 0.0000 0.0000
Be 4.9447 2.8548 2.0187
Cl 7.4171 4.2823 3.0280
CELL_PARAMETERS angstrom
4.9447 0.0000 0.0000
2.4724 4.2823 0.0000
2.4724 1.4274 4.0374
```

A geometry-optimized Be2Co2Hg structure. Source: the Alexandria database, functional PBE. Values from VASP.

Summary:
E_form = 83 meV/atom
SG = P4/mbm
mass density = 9.98 Mg/m³
excess energy over the best structure of this formula in the dataset = 0.00 eV per formula unit

Cell and atoms, written as Quantum ESPRESSO input:
```
&SYSTEM
  ibrav = 0, nat = 10, ntyp = 3
/
ATOMIC_SPECIES
Be 9.01 Be.upf
Co 58.93 Co.upf
Hg 200.59 Hg.upf
ATOMIC_POSITIONS angstrom
Be -5.5732 0.4670 2.2425
Be -5.5075 3.8103 1.0785
Be -2.2297 3.3130 -0.1647
Be -2.2954 -0.0303 0.9992
Co -3.3114 0.0487 3.0172
Co -5.5727 2.5395 3.1454
Co -3.4271 4.5705 1.5312
Co -1.1658 2.0797 1.4030
Hg 0.0000 0.0000 0.0000
Hg -3.9015 1.8900 1.0389
CELL_PARAMETERS angstrom
-2.5538 5.7029 -0.8368
-5.2491 -1.9229 2.9146
1.0644 0.8392 2.4707
```

A geometry-optimized ErBCl structure. Source: the Alexandria database, functional PBE. Values from VASP.

Summary:
SG = C2/m
mass density = 6.26 Mg/m³
DFT total energy = -34.0 eV/cell

Cell and atoms, written as Quantum ESPRESSO input:
```
&SYSTEM
  ibrav = 0, nat = 6, ntyp = 3
/
ATOMIC_SPECIES
Er 167.26 Er.upf
B 10.81 B.upf
Cl 35.45 Cl.upf
ATOMIC_POSITIONS angstrom
Er 1.6623 -6.2956 6.9153
Er 2.1012 -2.9368 0.8236
B 1.5042 -4.7616 4.7828
B 2.2593 -4.4708 2.9561
Cl -0.6313 -1.8542 4.0677
Cl 4.3948 -7.3782 3.6712
CELL_PARAMETERS angstrom
-0.0586 0.7835 3.3605
-2.4621 -1.3081 2.0341
6.2842 -8.7078 2.3443
```

A geometry-optimized Tb3Pm2Cd3 structure. Source: the Alexandria database, functional PBE. Values from VASP.

Summary:
E_form = -179 meV/atom
SG = Pmmm
mass density = 8.10 Mg/m³
excess energy over the best structure of this formula in the dataset = 0.42 eV per formula unit

Cell and atoms, written as Quantum ESPRESSO input:
```
&SYSTEM
  ibrav = 0, nat = 8, ntyp = 3
/
ATOMIC_SPECIES
Tb 158.93 Tb.upf
Pm 145.00 Pm.upf
Cd 112.41 Cd.upf
ATOMIC_POSITIONS angstrom
Tb -6.0531 -1.9803 4.1965
Tb -4.2215 -0.5058 0.6249
Tb -1.6791 1.8082 -0.1147
Pm -2.9453 -2.3708 5.7430
Pm -1.0321 -0.8308 2.0125
Cd -3.6678 0.2073 3.7631
Cd -1.4695 -1.4504 -1.3524
Cd -3.4582 -3.0512 2.5254
CELL_PARAMETERS angstrom
-3.3582 3.6163 -0.2293
-2.9390 -2.9008 -2.7048
-3.9774 -3.2016 7.7556
```

A geometry-optimized Pm2Mg16In structure. Source: the Alexandria database, functional PBE. Values from VASP.

Summary:
E_form = -73 meV/atom
SG = R3m
mass density = 2.86 Mg/m³

Cell and atoms, written as Quantum ESPRESSO input:
```
&SYSTEM
  ibrav = 0, nat = 19, ntyp = 3
/
ATOMIC_SPECIES
Pm 145.00 Pm.upf
Mg 24.30 Mg.upf
In 114.82 In.upf
ATOMIC_POSITIONS angstrom
Pm -9.3814 0.1501 -4.1045
Pm -4.5480 0.0728 -1.9898
Mg -3.4655 2.2011 -4.6622
Mg -5.9461 1.5069 0.9821
Mg -4.5365 -3.4848 -2.4223
Mg -5.7011 -2.4519 0.2773
Mg -3.2760 -0.8612 -5.2074
Mg -4.9710 3.5363 -1.1723
Mg -7.5930 -2.6084 -2.2776
Mg -6.0285 0.6478 -5.7343
Mg -7.8971 2.3050 -1.4028
Mg -6.3433 2.8188 -3.8149
Mg -7.9005 -0.4223 -0.3742
Mg -6.0406 -2.0719 -4.6856
Mg -2.7595 -2.7248 -0.1479
Mg -1.1727 0.5780 -3.6541
Mg -3.0680 2.2589 0.7393
Mg -1.3041 0.0209 -0.5706
In -12.4971 0.2000 -5.4677
CELL_PARAMETERS angstrom
-2.2938 1.1677 -7.3563
-5.5032 -5.5122 -0.2651
-6.1270 4.5673 1.5294
```

A geometry-optimized TbPm2Sm3Dy6 structure. Source: the Alexandria database, functional PBE. Values from VASP.

Summary:
E_form = 13 meV/atom
SG = C2/m
mass density = 8.00 Mg/m³

Cell and atoms, written as Quantum ESPRESSO input:
```
&SYSTEM
  ibrav = 0, nat = 12, ntyp = 4
/
ATOMIC_SPECIES
Tb 158.93 Tb.upf
Pm 145.00 Pm.upf
Sm 150.36 Sm.upf
Dy 162.50 Dy.upf
ATOMIC_POSITIONS angstrom
Tb 0.0000 0.0000 0.0000
Pm 1.5663 -0.6850 3.1522
Pm 0.1184 -3.3577 1.2534
Sm -3.0809 2.1560 6.0816
Sm -5.9777 -3.1910 2.2828
Sm -4.5293 -0.5175 4.1822
Dy -7.5195 -2.1108 5.3250
Dy -1.4203 -2.2831 4.2965
Dy -1.5391 1.0758 3.0395
Dy -6.0725 0.5599 7.2225
Dy -7.6383 1.2480 4.0680
Dy -2.9861 -1.5950 1.1420
CELL_PARAMETERS angstrom
-1.3301 -6.0312 -0.6461
3.0148 1.9885 5.0517
-10.7433 3.0077 3.9589
```